# 1
Material: Hf3Zr8Sn
Method: DFT, PBE-GGA
State: relaxed

Calculated values
* symmetry: I-42m
* formation energy from the elements: 0.6569 eV/atom
* DOS(E_F): 14.39 states/eV/cell

```
Hf3Zr8Sn
1.0
-3.929 3.929 5.044
3.929 -3.929 5.044
3.929 3.929 -5.044
Hf Zr Sn
3 8 1
Cartesian
0.000 0.000 0.000 Hf
3.929 0.000 2.522 Hf
0.000 3.929 2.522 Hf
1.101 -1.101 2.412 Zr
1.999 -1.999 4.815 Zr
1.930 1.930 0.229 Zr
-1.101 1.101 2.412 Zr
2.828 2.828 2.633 Zr
-1.999 1.999 4.815 Zr
1.999 1.999 5.274 Zr
1.101 1.101 7.677 Zr
0.000 0.000 5.044 Sn
```

---

# 2
Material: Hf2ZrSn2
Method: DFT, PBE-GGA
State: relaxed

Calculated values
* symmetry: P-1
* formation energy from the elements: -0.3543 eV/atom
* DOS(E_F): 7.84 states/eV/cell

```
Hf2ZrSn2
1.0
5.462 0.000 0.000
-1.105 5.644 0.000
-2.349 -2.400 7.244
Hf Zr Sn
4 2 4
Cartesian
-0.625 -0.233 2.527 Hf
-1.030 0.976 5.425 Hf
3.038 2.267 1.819 Hf
2.633 3.476 4.717 Hf
1.034 4.618 1.084 Zr
0.974 -1.374 6.159 Zr
0.536 1.497 0.328 Sn
-0.021 2.910 3.380 Sn
2.029 0.333 3.864 Sn
1.472 1.746 6.916 Sn
```

---

# 3
Material: HfZrSn2
Method: DFT, PBE-GGA
State: relaxed

Calculated values
* symmetry: P4/mmm
* formation energy from the elements: -0.3113 eV/atom
* DOS(E_F): 2.40 states/eV/cell

```
HfZrSn2
1.0
4.558 0.000 0.000
0.000 4.558 0.000
0.000 0.000 4.289
Hf Zr Sn
1 1 2
Cartesian
0.000 0.000 0.000 Hf
2.279 2.279 0.000 Zr
0.000 2.279 2.145 Sn
2.279 0.000 2.145 Sn
```

---

# 4
Material: Hf2Zr2Sn
Method: DFT, PBE-GGA
State: relaxed

Calculated values
* symmetry: C2/m
* formation energy from the elements: -0.0549 eV/atom
* DOS(E_F): 9.70 states/eV/cell

```
Hf2Zr2Sn
1.0
3.898 -4.173 0.000
3.898 4.173 0.000
-3.763 0.000 7.083
Hf Zr Sn
4 4 2
Cartesian
0.471 2.737 5.649 Hf
3.563 2.737 1.434 Hf
0.471 -2.737 5.649 Hf
3.563 -2.737 1.434 Hf
-0.727 0.000 4.458 Zr
2.368 0.000 0.577 Zr
1.665 0.000 6.505 Zr
4.760 0.000 2.625 Zr
2.017 1.457 3.541 Sn
2.017 -1.457 3.541 Sn
```

---

# 5
Material: HfZr2Sn2
Method: DFT, PBE-GGA
State: relaxed

Calculated values
* symmetry: P4/mbm
* formation energy from the elements: -0.4577 eV/atom
* DOS(E_F): 9.12 states/eV/cell

```
HfZr2Sn2
1.0
7.646 0.000 0.000
0.000 7.646 0.000
0.000 0.000 3.887
Hf Zr Sn
2 4 4
Cartesian
0.000 0.000 0.000 Hf
3.823 3.823 0.000 Hf
1.276 2.547 1.944 Zr
2.547 6.370 1.944 Zr
5.100 1.276 1.944 Zr
6.370 5.100 1.944 Zr
1.036 4.860 0.000 Sn
2.787 1.036 0.000 Sn
4.860 6.610 0.000 Sn
6.610 2.787 0.000 Sn
```

---

# 6
Material: HfZr2Sn
Method: DFT, PBE-GGA
State: relaxed

Calculated values
* symmetry: I-42d
* formation energy from the elements: 0.2195 eV/atom
* DOS(E_F): 7.88 states/eV/cell

```
HfZr2Sn
1.0
-4.045 4.045 2.942
4.045 -4.045 2.942
4.045 4.045 -2.942
Hf Zr Sn
2 4 2
Cartesian
0.000 0.000 0.000 Hf
0.000 4.045 1.471 Hf
2.023 2.111 -0.735 Zr
5.980 2.023 0.735 Zr
2.023 1.934 2.206 Zr
-1.934 2.023 3.677 Zr
4.045 0.000 1.471 Sn
0.000 0.000 2.942 Sn
```

---

# 7
Material: HfZr4Sn2
Method: DFT, PBE-GGA
State: relaxed

Calculated values
* symmetry: P2_1/m
* formation energy from the elements: -0.2232 eV/atom
* DOS(E_F): 14.19 states/eV/cell

```
HfZr4Sn2
1.0
7.596 0.000 0.000
0.000 5.932 0.000
-3.512 0.000 7.202
Hf Zr Sn
2 8 4
Cartesian
-0.517 1.483 2.480 Hf
4.602 4.449 4.721 Hf
1.247 4.449 0.579 Zr
-0.156 0.001 5.601 Zr
-0.156 2.966 5.601 Zr
1.850 4.449 3.623 Zr
2.234 1.483 3.578 Zr
4.240 5.932 1.601 Zr
4.240 2.967 1.601 Zr
2.837 1.483 6.622 Zr
-0.874 4.449 2.750 Sn
1.733 1.483 0.577 Sn
2.351 4.449 6.624 Sn
4.958 1.483 4.452 Sn
```

---

# 8
Material: Hf3ZrSn2
Method: DFT, PBE-GGA
State: relaxed

Calculated values
* symmetry: C2/m
* formation energy from the elements: -0.2410 eV/atom
* DOS(E_F): 9.33 states/eV/cell

```
Hf3ZrSn2
1.0
8.606 -1.926 0.000
8.606 1.926 0.000
-3.454 0.000 8.319
Hf Zr Sn
6 2 4
Cartesian
0.417 0.000 1.352 Hf
3.344 0.000 4.996 Hf
6.259 0.000 0.231 Hf
7.499 0.000 8.088 Hf
10.413 0.000 3.323 Hf
13.340 0.000 6.967 Hf
-0.121 0.000 5.102 Zr
13.879 0.000 3.217 Zr
3.524 0.000 1.758 Sn
6.213 0.000 5.419 Sn
7.545 0.000 2.900 Sn
10.233 0.000 6.562 Sn
```

---

# 9
Material: Hf4Zr3Sn4
Method: DFT, PBE-GGA
State: relaxed

Calculated values
* symmetry: Amm2
* formation energy from the elements: -0.2677 eV/atom
* DOS(E_F): 7.97 states/eV/cell

```
Hf4Zr3Sn4
1.0
9.012 0.000 0.000
0.000 2.053 6.976
0.000 -2.053 6.976
Hf Zr Sn
4 3 4
Cartesian
0.000 0.000 0.000 Hf
2.226 0.000 7.070 Hf
4.506 0.000 0.093 Hf
6.786 0.000 7.070 Hf
2.185 0.000 11.548 Zr
4.506 0.000 9.428 Zr
6.826 0.000 11.548 Zr
0.000 0.000 4.840 Sn
2.145 0.000 2.247 Sn
4.506 0.000 4.862 Sn
6.867 0.000 2.247 Sn
```

---

# 10
Material: Hf3ZrSn2
Method: DFT, PBE-GGA
State: relaxed

Calculated values
* symmetry: Pnma
* formation energy from the elements: -0.1624 eV/atom
* DOS(E_F): 21.33 states/eV/cell

```
Hf3ZrSn2
1.0
11.130 0.000 0.000
0.000 3.180 0.000
0.000 0.000 15.454
Hf Zr Sn
12 4 8
Cartesian
0.570 0.795 1.260 Hf
0.682 2.385 6.517 Hf
1.989 0.795 4.247 Hf
3.576 2.385 11.974 Hf
4.883 0.795 14.244 Hf
4.995 2.385 8.987 Hf
6.135 0.795 6.467 Hf
6.247 2.385 1.210 Hf
7.554 0.795 3.480 Hf
9.141 2.385 11.207 Hf
10.448 0.795 8.937 Hf
10.560 2.385 14.194 Hf
1.884 2.385 9.477 Zr
3.681 0.795 1.750 Zr
7.449 2.385 13.704 Zr
9.246 0.795 5.977 Zr
0.707 0.795 11.840 Sn
2.353 2.385 14.818 Sn
3.212 0.795 7.091 Sn
4.858 2.385 4.113 Sn
6.272 0.795 11.340 Sn
7.918 2.385 8.363 Sn
8.777 0.795 0.636 Sn
10.423 2.385 3.614 Sn
```

---

# 11
Material: Hf3ZrSn
Method: DFT, PBE-GGA
State: relaxed

Calculated values
* symmetry: Cmcm
* formation energy from the elements: 0.0171 eV/atom
* DOS(E_F): 12.02 states/eV/cell

```
Hf3ZrSn
1.0
2.868 -7.437 0.000
2.868 7.437 0.000
0.000 0.000 5.617
Hf Zr Sn
6 2 2
Cartesian
0.000 0.000 0.000 Hf
0.000 0.000 2.809 Hf
1.457 2.297 4.213 Hf
1.457 -2.297 1.404 Hf
4.278 2.297 4.213 Hf
4.278 -2.297 1.404 Hf
2.868 0.786 1.404 Zr
2.868 -0.786 4.213 Zr
2.868 4.905 4.213 Sn
2.868 -4.905 1.404 Sn
```

---

# 12
Material: Hf3Zr2Sn
Method: DFT, PBE-GGA
State: relaxed

Calculated values
* symmetry: Fmmm
* formation energy from the elements: -0.1209 eV/atom
* DOS(E_F): 10.24 states/eV/cell

```
Hf3Zr2Sn
1.0
0.000 5.043 8.752
3.081 0.000 8.752
3.081 5.043 0.000
Hf Zr Sn
6 4 2
Cartesian
3.081 5.043 2.779 Hf
3.081 2.617 7.296 Hf
3.081 2.617 10.208 Hf
3.081 7.470 7.296 Hf
3.081 7.470 10.208 Hf
3.081 5.043 14.724 Hf
4.686 5.043 8.752 Zr
1.541 2.522 4.376 Zr
4.622 7.565 13.127 Zr
1.477 5.043 8.752 Zr
3.081 5.043 5.708 Sn
3.081 5.043 11.795 Sn
```

---

# 13
Material: Hf5ZrSn4
Method: DFT, PBE-GGA
State: relaxed

Calculated values
* symmetry: Pmmn
* formation energy from the elements: 0.0415 eV/atom
* DOS(E_F): 23.48 states/eV/cell

```
Hf5ZrSn4
1.0
8.843 0.000 0.000
0.000 10.388 0.000
0.000 0.000 5.268
Hf Zr Sn
10 2 8
Cartesian
0.694 0.012 1.311 Hf
0.694 5.182 1.311 Hf
2.211 2.597 2.486 Hf
3.728 0.012 1.311 Hf
3.728 5.182 1.311 Hf
5.116 5.206 3.957 Hf
5.116 10.376 3.957 Hf
6.632 7.791 2.782 Hf
8.149 5.206 3.957 Hf
8.149 10.376 3.957 Hf
2.211 7.791 1.397 Zr
6.632 2.597 3.871 Zr
0.632 2.597 5.089 Sn
2.211 5.812 3.875 Sn
2.211 9.770 3.875 Sn
3.790 2.597 5.089 Sn
5.053 7.791 0.179 Sn
6.632 0.618 1.393 Sn
6.632 4.576 1.393 Sn
8.211 7.791 0.179 Sn
```

---

# 14
Material: HfZr2Sn2
Method: DFT, PBE-GGA
State: relaxed

Calculated values
* symmetry: P4/mbm
* formation energy from the elements: -0.0990 eV/atom
* DOS(E_F): 10.64 states/eV/cell

```
HfZr2Sn2
1.0
8.535 0.000 0.000
0.000 8.535 0.000
0.000 0.000 3.205
Hf Zr Sn
2 4 4
Cartesian
0.000 0.000 0.000 Hf
4.268 4.268 0.000 Hf
1.059 3.208 0.000 Zr
3.208 7.476 0.000 Zr
5.327 1.059 0.000 Zr
7.476 5.327 0.000 Zr
1.489 5.756 1.602 Sn
2.779 1.489 1.602 Sn
5.756 7.047 1.602 Sn
7.047 2.779 1.602 Sn
```

---

# 15
Material: HfZrSn2
Method: DFT, PBE-GGA
State: relaxed

Calculated values
* symmetry: R-3m
* formation energy from the elements: -0.2262 eV/atom
* DOS(E_F): 1.03 states/eV/cell

```
HfZrSn2
1.0
2.086 1.205 6.565
-2.086 1.205 6.565
0.000 -2.409 6.565
Hf Zr Sn
1 1 2
Cartesian
0.000 0.000 0.000 Hf
0.000 0.000 9.848 Zr
0.000 0.000 4.943 Sn
0.000 0.000 14.752 Sn
```

---

# 16
Material: Hf6ZrSn
Method: DFT, PBE-GGA
State: relaxed

Calculated values
* symmetry: C2/m
* formation energy from the elements: 0.2292 eV/atom
* DOS(E_F): 7.01 states/eV/cell

```
Hf6ZrSn
1.0
4.246 -3.053 0.000
4.246 3.053 0.000
-2.072 0.000 7.588
Hf Zr Sn
6 1 1
Cartesian
2.126 1.574 1.554 Hf
0.205 0.000 3.250 Hf
4.295 1.574 6.035 Hf
2.126 -1.574 1.554 Hf
6.216 0.000 4.338 Hf
4.295 -1.574 6.035 Hf
3.211 0.000 3.794 Zr
0.000 0.000 0.000 Sn
```

---

# 17
Material: Hf6ZrSn3
Method: DFT, PBE-GGA
State: relaxed

Calculated values
* symmetry: Cmc2_1
* formation energy from the elements: -0.1471 eV/atom
* DOS(E_F): 11.98 states/eV/cell

```
Hf6ZrSn3
1.0
5.448 -5.655 0.000
5.448 5.655 0.000
0.000 0.000 7.541
Hf Zr Sn
12 2 6
Cartesian
2.627 2.271 2.250 Hf
5.448 4.424 3.770 Hf
5.448 3.336 7.445 Hf
3.869 0.717 7.306 Hf
3.869 -0.717 3.536 Hf
2.627 -2.271 6.021 Hf
8.269 2.271 2.250 Hf
7.028 0.717 7.306 Hf
7.028 -0.717 3.536 Hf
5.448 -3.336 3.675 Hf
5.448 -4.424 0.000 Hf
8.269 -2.271 6.021 Hf
5.448 1.770 5.003 Zr
5.448 -1.770 1.232 Zr
1.915 0.676 5.150 Sn
1.915 -0.676 1.380 Sn
5.448 1.407 2.147 Sn
5.448 -1.407 5.918 Sn
8.981 0.676 5.150 Sn
8.981 -0.676 1.380 Sn
```

---

# 18
Material: Hf6ZrSn
Method: DFT, PBE-GGA
State: relaxed

Calculated values
* symmetry: Amm2
* formation energy from the elements: -0.0140 eV/atom
* DOS(E_F): 12.61 states/eV/cell

```
Hf6ZrSn
1.0
5.241 0.000 0.000
0.000 5.168 3.278
0.000 -5.168 3.278
Hf Zr Sn
6 1 1
Cartesian
0.000 0.000 0.000 Hf
0.000 -2.465 4.889 Hf
0.000 2.465 4.889 Hf
2.620 -2.604 3.250 Hf
2.620 0.000 4.891 Hf
2.620 2.604 3.250 Hf
0.000 0.000 3.222 Zr
2.620 0.000 1.622 Sn
```

---

# 19
Material: HfZr5Sn3
Method: DFT, PBE-GGA
State: relaxed

Calculated values
* symmetry: I4/mcm
* formation energy from the elements: -0.0232 eV/atom
* DOS(E_F): 18.28 states/eV/cell

```
HfZr5Sn3
1.0
-3.690 3.690 7.726
3.690 -3.690 7.726
3.690 3.690 -7.726
Hf Zr Sn
2 10 6
Cartesian
3.690 0.000 3.863 Hf
0.000 3.690 3.863 Hf
0.000 0.000 0.000 Zr
5.137 1.447 -2.064 Zr
1.447 2.243 -2.064 Zr
5.137 1.447 2.064 Zr
1.447 2.243 2.064 Zr
0.000 0.000 7.726 Zr
2.243 1.447 5.662 Zr
-1.447 2.243 5.662 Zr
2.243 1.447 9.790 Zr
-1.447 2.243 9.790 Zr
2.750 0.940 0.000 Sn
0.000 0.000 3.863 Sn
2.750 -0.940 7.726 Sn
0.940 4.630 0.000 Sn
0.000 0.000 11.589 Sn
0.940 2.750 7.726 Sn
```

---

# 20
Material: Hf4ZrSn2
Method: DFT, PBE-GGA
State: relaxed

Calculated values
* symmetry: P4_2/mnm
* formation energy from the elements: -0.1041 eV/atom
* DOS(E_F): 14.10 states/eV/cell

```
Hf4ZrSn2
1.0
9.596 0.000 0.000
0.000 9.596 0.000
0.000 0.000 3.576
Hf Zr Sn
8 2 4
Cartesian
0.787 3.196 0.000 Hf
1.601 5.585 1.788 Hf
3.196 0.787 0.000 Hf
4.011 7.994 1.788 Hf
5.585 1.601 1.788 Hf
6.399 8.809 0.000 Hf
7.994 4.011 1.788 Hf
8.809 6.399 0.000 Hf
0.000 0.000 1.788 Zr
4.798 4.798 0.000 Zr
1.681 7.915 0.000 Sn
3.117 3.117 1.788 Sn
6.479 6.479 1.788 Sn
7.915 1.681 0.000 Sn
```